(1)
The following is a DFT calculation (PBE) of crystalline NdEr2OsO8 at its relaxed geometry.

SG = P2/m
Volume = 174.4 Å³ per cell

a = 5.042 Å, b = 6.848 Å, c = 5.050 Å
α = 90.00°, β = 90.53°, γ = 90.00°
Element x y z (fractional)
Nd1 0.000 0.000 0.000
Er1 0.500 0.247 0.500
Er2 0.500 0.753 0.500
Os1 0.000 0.500 0.000
O1 0.188 0.297 0.186
O2 0.188 0.703 0.186
O3 0.263 0.500 0.736
O4 0.316 0.000 0.682
O5 0.684 0.000 0.318
O6 0.737 0.500 0.264
O7 0.812 0.297 0.814
O8 0.812 0.703 0.814



(2)
The following is a DFT calculation (PBE) of crystalline Nd2ErOsO8 at its relaxed geometry.

SG = P2/m
Volume = 183.8 Å³ per cell

a = 5.162 Å, b = 6.895 Å, c = 5.164 Å
α = 90.00°, β = 90.72°, γ = 90.00°
Element x y z (fractional)
Nd1 0.000 0.249 0.000
Nd2 0.000 0.751 0.000
Er1 0.500 0.000 0.500
Os1 0.500 0.500 0.500
O1 0.201 0.000 0.199
O2 0.245 0.500 0.243
O3 0.323 0.289 0.676
O4 0.323 0.711 0.676
O5 0.677 0.289 0.324
O6 0.677 0.711 0.324
O7 0.755 0.500 0.757
O8 0.799 0.000 0.801



(3)
The following is a DFT calculation (PBE) of crystalline Nd4Er2Pb3O2 at its relaxed geometry.

SG = I4/mmm
Volume = 299.0 Å³ per cell

a = 13.273 Å, b = 13.273 Å, c = 13.273 Å
α = 159.04°, β = 159.04°, γ = 29.81°
Element x y z (fractional)
Nd1 0.085 0.585 0.500
Nd2 0.415 0.915 0.500
Nd3 0.585 0.085 0.500
Nd4 0.915 0.415 0.500
Er1 0.193 0.193 0.000
Er2 0.807 0.807 0.000
Pb1 0.318 0.318 0.000
Pb2 0.500 0.500 0.000
Pb3 0.682 0.682 0.000
O1 0.107 0.107 0.000
O2 0.893 0.893 0.000



(4)
The following is a DFT calculation (PBE) of crystalline Nd2ErPdO5 at its relaxed geometry.

SG = P4/mbm
Volume = 256.5 Å³ per cell

a = 6.585 Å, b = 6.585 Å, c = 5.914 Å
α = 90.00°, β = 90.00°, γ = 90.00°
Element x y z (fractional)
Nd1 0.163 0.337 0.000
Nd2 0.337 0.837 0.000
Nd3 0.663 0.163 0.000
Nd4 0.837 0.663 0.000
Er1 0.000 0.000 0.500
Er2 0.500 0.500 0.500
Pd1 0.000 0.500 0.500
Pd2 0.500 0.000 0.500
O1 0.000 0.000 0.000
O2 0.170 0.670 0.266
O3 0.170 0.670 0.734
O4 0.330 0.170 0.266
O5 0.330 0.170 0.734
O6 0.500 0.500 0.000
O7 0.670 0.830 0.266
O8 0.670 0.830 0.734
O9 0.830 0.330 0.266
O10 0.830 0.330 0.734



| no. | raw formation energy (eV/atom) |
| --- | --- |
| 1 | -2.51 |
| 2 | -2.44 |
| 3 | -1.33 |
| 4 | -2.36 |